No. 1
This record from Alexandria describes a geometry-optimized MoAuSN2 structure. The functional is PBE-GGA.

The structure in POSCAR format:
```
MoAuSN2
1.0
4.018 0.000 0.000
0.000 4.018 0.000
0.000 0.000 5.066
Mo Au S N
1 1 1 2
direct
0.000 0.000 0.000
0.500 0.500 0.500
0.500 0.500 0.000
0.000 0.500 0.500
0.500 0.000 0.500
```

Summary:
* N(E_F): 2.227 states/eV/f.u.
* relative energy among the computed polymorphs: 1386 meV/atom
* raw total energy: -5.016 eV per atom
* M_tot: 1.33 μB per formula unit
* uncorrected formation energy: 1.961 eV per atom

=====

No. 2
This record from Alexandria describes a geometry-optimized FeRe2Hg structure. The functional is PBE-GGA.

The structure in POSCAR format:
```
FeRe2Hg
1.0
7.239 0.000 0.000
0.000 7.239 0.000
0.000 0.000 5.071
Fe Re Hg
4 8 4
direct
0.000 0.000 0.000
0.000 0.500 0.250
0.500 0.000 0.750
0.500 0.500 0.500
0.184 0.250 0.125
0.250 0.684 0.375
0.250 0.816 0.875
0.316 0.250 0.625
0.684 0.750 0.625
0.750 0.184 0.875
0.750 0.316 0.375
0.816 0.750 0.125
0.000 0.000 0.500
0.000 0.500 0.750
0.500 0.000 0.250
0.500 0.500 0.000
```

Summary:
* N(E_F): 5.480 states/eV/f.u.
* relative energy among the computed polymorphs: 628 meV/atom
* raw total energy: -7.416 eV per atom
* E_form: 1.00 eV per atom
* M_tot: 0.00 μB per formula unit

=====

No. 3
This record from Alexandria describes a geometry-optimized Tb7AlSn5 structure. The functional is PBE-GGA.

The structure in POSCAR format:
```
Tb7AlSn5
1.0
-3.091 5.654 5.290
3.091 -5.654 5.290
3.091 5.654 -5.290
Tb Al Sn
7 1 5
direct
0.000 0.000 0.000
0.274 0.604 0.670
0.400 0.400 0.000
0.428 0.088 0.340
0.748 0.088 0.660
0.839 0.339 0.500
0.934 0.604 0.330
0.698 0.698 0.000
0.089 0.097 0.488
0.089 0.600 0.991
0.341 0.841 0.500
0.609 0.097 0.009
0.609 0.600 0.512
```

Summary:
* N(E_F): 12.159 states/eV/f.u.
* raw total energy: -4.735 eV per atom
* E_form: -0.41 eV per atom
* M_tot: 0.00 μB per formula unit

=====

No. 4
This record from Alexandria describes a geometry-optimized SrRuIO6 structure. The functional is PBE-GGA.

The structure in POSCAR format:
```
SrRuIO6
1.0
5.352 0.000 0.000
-2.676 4.635 0.000
0.000 0.000 5.382
Sr Ru I O
1 1 1 6
direct
0.000 0.000 0.000
0.333 0.667 0.500
0.667 0.333 0.500
0.001 0.371 0.702
0.001 0.630 0.298
0.370 0.371 0.298
0.370 0.999 0.702
0.629 0.630 0.702
0.629 0.999 0.298
```

Summary:
* N(E_F): 4.947 states/eV/f.u.
* raw total energy: -5.878 eV per atom
* M_tot: 1.01 μB per formula unit
* uncorrected formation energy: -1.183 eV per atom

=====

No. 5
This record from Alexandria describes a geometry-optimized Cs2SCl structure. The functional is PBE-GGA.

The structure in POSCAR format:
```
Cs2SCl
1.0
4.131 0.000 0.000
0.000 4.131 0.000
0.000 0.000 8.865
Cs S Cl
2 1 1
direct
0.000 0.000 0.239
0.000 0.000 0.761
0.500 0.500 0.500
0.500 0.500 0.000
```

Summary:
* N(E_F): 3.773 states/eV/f.u.
* relative energy among the computed polymorphs: 0 meV/atom
* raw total energy: -3.081 eV per atom
* M_tot: 1.01 μB per formula unit
* uncorrected formation energy: -1.160 eV per atom

=====

No. 6
This record from Alexandria describes a geometry-optimized PmThHgIr structure. The functional is PBE-GGA.

The structure in POSCAR format:
```
PmThHgIr
1.0
4.166 0.000 0.000
-2.083 3.608 0.000
0.000 0.000 23.018
Pm Th Hg Ir
3 3 3 3
direct
0.000 0.000 0.000
0.333 0.667 0.667
0.667 0.333 0.333
0.000 0.000 0.200
0.333 0.667 0.867
0.667 0.333 0.533
0.000 0.000 0.766
0.333 0.667 0.432
0.667 0.333 0.099
0.000 0.000 0.597
0.333 0.667 0.263
0.667 0.333 0.930
```

Summary:
* N(E_F): 2.991 states/eV/f.u.
* relative energy among the computed polymorphs: 0 meV/atom
* raw total energy: -5.952 eV per atom
* E_form: -0.62 eV per atom
* M_tot: 0.00 μB per formula unit

=====

Q: Which of these has the highest N(E_F)?
A: Tb7AlSn5

=====

Q: Which value of M_tot does entry 2 give?
A: 0.00 μB per formula unit

=====

Q: raw total energy of number 4 (SrRuIO6)?
A: -5.878 eV per atom